The following is a DFT calculation (PBE with a Hubbard U) of crystalline EuFeO3 at its relaxed geometry.

a b c (Å): 5.5232 5.5232 5.5232
angles (deg): 120.34 90.12 119.52
Fractional coordinates of all 10 atoms:
Eu (0.2616, 0.0116, 0.2500)
Eu (0.7384, 0.9884, 0.7500)
Fe (0.0000, 0.5000, 0.5000)
Fe (0.5000, 0.5000, 0.0000)
O (0.1636, 0.4136, 0.7500)
O (0.2981, 0.0000, 0.7981)
O (0.2981, 0.5000, 0.2981)
O (0.7019, 0.0000, 0.2019)
O (0.7019, 0.5000, 0.7019)
O (0.8364, 0.5864, 0.2500)

## Properties
- SG: Imma (74)
- Total DFT energy (no corrections): -41.3 eV per formula unit